Entry 1:
DFT (PBE) results for a relaxed structure of Cs2NbClF6.

Output
Total magnetization in μB per atom: 0.0000
ΔE_f (raw) in eV per atom: -2.7234
D(E_F) in states/eV/f.u.: 0.00
ΔE to the lowest computed polymorph in eV/atom: 0.127

a b c (Å): 7.186 7.186 7.186
angles (deg): 60.00 60.00 90.00
Sites, in units of the cell vectors:
Cs 0.750 0.250 0.500
Cs 0.250 0.750 0.500
Nb 0.000 0.000 0.000
F 0.191 0.191 0.619
F 0.809 0.809 0.381
F 0.191 0.191 0.000
F 0.809 0.809 0.000
F 0.809 0.191 0.000
F 0.191 0.809 0.000
Cl 0.500 0.500 0.000



Entry 2:
DFT (PBE) results for a relaxed structure of SiHPd4.

Output
Total magnetization in μB per atom: 0.0000
D(E_F) in states/eV/f.u.: 2.94
ΔE to the lowest computed polymorph in eV/atom: 0.210

a b c (Å): 6.088 6.088 6.088
angles (deg): 107.22 107.22 114.07
Sites, in units of the cell vectors:
Si 0.231 0.231 0.000
Si 0.981 0.481 0.500
H 0.794 0.794 0.000
H 0.544 0.044 0.500
Pd 0.274 0.964 0.691
Pd 0.714 0.417 0.703
Pd 0.714 0.524 0.191
Pd 0.167 0.964 0.203
Pd 0.333 0.524 0.809
Pd 0.761 0.964 0.797
Pd 0.714 0.011 0.297
Pd 0.274 0.583 0.309



> The highest ΔE to the lowest computed polymorph belongs to which entry?

SiHPd4



> Number 2 is which compound?

SiHPd4